Compound: Mg2InSb
Source: the Alexandria database
Functional: PBE
Structure: relaxed

```
Mg2InSb
1.0
4.510 0.000 0.000
2.255 3.906 0.000
2.255 1.302 6.206
Mg In Sb
2 1 1
Cartesian
2.255 1.302 4.783
2.255 1.302 1.383
4.510 2.604 3.121
4.510 2.604 0.022
```

Output
Energy relative to the elements, uncorrected: -0.152 eV per atom
Density of states at the Fermi level: 0.3495 states/eV per atom
Calculated density: 4.3 g/cm3